No. 1
Compound: CaCdO2
Source: Alexandria
Functional: PBE
Structure: optimized geometry Values from VASP.

Cell and atoms, written as Quantum ESPRESSO input:
```
&SYSTEM
  ibrav = 0, nat = 8, ntyp = 3
/
ATOMIC_SPECIES
Ca 40.08 Ca.upf
O 16.00 O.upf
Cd 112.41 Cd.upf
ATOMIC_POSITIONS angstrom
Ca 2.579 2.579 0.000
Ca 2.579 5.158 2.633
O 3.880 1.289 1.316
O 1.278 3.868 1.316
O 3.868 3.857 3.949
O 6.447 6.459 3.949
Cd 0.000 0.000 0.000
Cd 5.158 2.579 2.633
CELL_PARAMETERS angstrom
5.158 0.000 0.000
0.000 5.158 0.000
2.579 2.579 5.265
```

Calculated values
Space-group type   I-42d (122)
Total energy   -5.12 eV per atom
Magnetization   0.0 μB per formula unit

No. 2
Compound: Ac2P2PbN6
Source: Alexandria
Functional: PBE
Structure: optimized geometry Values from VASP.

Cell and atoms, written as Quantum ESPRESSO input:
```
&SYSTEM
  ibrav = 0, nat = 11, ntyp = 4
/
ATOMIC_SPECIES
Ac 227.00 Ac.upf
P 30.97 P.upf
Pb 207.20 Pb.upf
N 14.01 N.upf
ATOMIC_POSITIONS angstrom
Ac 7.728 -0.776 4.812
Ac 3.188 2.189 1.508
P 4.495 1.337 4.417
P 6.421 0.075 1.902
Pb 3.978 -1.800 2.947
N 5.742 0.852 5.267
N 7.678 1.053 2.081
N 4.428 2.749 3.698
N 3.238 0.359 4.239
N 6.488 -1.336 2.622
N 5.174 0.561 1.053
CELL_PARAMETERS angstrom
7.091 -0.761 0.562
2.961 5.012 0.427
0.864 -2.839 5.331
```

Calculated values
Space-group type   P-1 (2)
Total energy   -7.24 eV per atom
Magnetization   0.0 μB per formula unit

No. 3
Compound: LiTmThGa
Source: Alexandria
Functional: PBE
Structure: optimized geometry Values from VASP.

Cell and atoms, written as Quantum ESPRESSO input:
```
&SYSTEM
  ibrav = 0, nat = 4, ntyp = 4
/
ATOMIC_SPECIES
Tm 168.93 Tm.upf
Ga 69.72 Ga.upf
Th 232.04 Th.upf
Li 6.94 Li.upf
ATOMIC_POSITIONS angstrom
Tm 7.689 4.439 3.139
Ga 5.126 2.960 2.093
Th 2.563 1.480 1.046
Li 0.000 0.000 0.000
CELL_PARAMETERS angstrom
5.126 0.000 0.000
2.563 4.439 0.000
2.563 1.480 4.186
```

Calculated values
Space-group type   F-43m (216)
Total energy   -4.41 eV per atom
Magnetization   0.0 μB per formula unit

Which of these has the highest total energy?
LiTmThGa

The lowest total energy belongs to which entry?
Ac2P2PbN6